Pr6Pt2CI3: relaxed, GGA-PBE.

Output
- formation energy without anion corrections (eV per atom) = -0.9092
- volume (Å³ per atom) = 30.461
- symmetry = No. 12
- total magnetization (μB/atom) = 0.019

Cell lengths 7.2584, 7.2584, 8.3475 Å; angles 98.25, 98.25, 119.83 degrees
Closest atoms and distances in Å follow each position.
Positions (direct):
Pr  0.0607  0.3661  0.1824  1 C 2.66, 2 Pt 2.92
Pr  0.2445  0.2445  0.8153  1 C 2.67, 2 Pt 2.92
Pr  0.3661  0.0607  0.1824  1 C 2.66, 2 Pt 2.92
Pr  0.6339  0.9393  0.8176  1 C 2.66, 2 Pt 2.92
Pr  0.7555  0.7555  0.1847  1 C 2.67, 2 Pt 2.92
Pr  0.9393  0.6339  0.8176  1 C 2.66, 2 Pt 2.92
Pt  0.3338  0.6662  0.0000  6 Pr 2.92
Pt  0.6662  0.3338  0.0000  6 Pr 2.92
C  0.0000  0.0000  0.0000  6 Pr 2.66-2.67
I  0.1683  0.8317  0.5000  6 Pr 3.44-3.64
I  0.5000  0.5000  0.5000  6 Pr 3.45-3.63
I  0.8317  0.1683  0.5000  6 Pr 3.44-3.64